(1)
VASP calculation (PBE) on a geometry-optimized ScTa2Ru structure.

Summary:
Symmetry: No. 99
Total magnetic moment in μB/f.u.: 0.00
Crystal system: tetragonal
Energy in eV per atom: -10.027
Density of states at the Fermi level in states/eV per atom: 1.236

Lattice parameters (Å, degrees): 3.1701 3.1701 7.1246 90.00 90.00 90.00
Closest atoms and distances in Å follow each position.
Positions (direct):
1 Sc 0.0000 0.0000 0.0000  4 Ru 2.85, 4 Ta 3.02, 4 Sc 3.17
2 Ta 0.0000 0.0000 0.5447  4 Ru 2.69, 4 Ta 2.91
3 Ta 0.5000 0.5000 0.2839  8 Ta 2.91-3.17, 4 Sc 3.02
4 Ru 0.5000 0.5000 0.7526  4 Ta 2.69, 4 Sc 2.85

***

(2)
VASP calculation (PBE) on a geometry-optimized ScTa2Ru structure.

Summary:
Symmetry: No. 166
Total magnetic moment in μB/f.u.: 0.00
Crystal system: trigonal
Energy in eV per atom: -9.731
Density of states at the Fermi level in states/eV per atom: 1.019

Lattice parameters (Å, degrees): 3.0276 3.0276 27.6549 90.00 90.00 120.00
Closest atoms and distances in Å follow each position.
Positions (direct):
1 Sc 0.0000 0.0000 0.0000  6 Sc 3.03, 6 Ta 3.09
2 Sc 0.3333 0.6667 0.6667  6 Sc 3.03, 6 Ta 3.09
3 Sc 0.6667 0.3333 0.3333  6 Sc 3.03, 6 Ta 3.09
4 Ta 0.0000 0.0000 0.2412  3 Ru 2.70
5 Ta 0.0000 0.0000 0.7588  3 Ru 2.70
6 Ta 0.3333 0.6667 0.4255  3 Ru 2.70
7 Ta 0.3333 0.6667 0.9079  3 Ru 2.70
8 Ta 0.6667 0.3333 0.0921  3 Ru 2.70
9 Ta 0.6667 0.3333 0.5745  3 Ru 2.70
10 Ru 0.0000 0.0000 0.5000  6 Ta 2.70
11 Ru 0.3333 0.6667 0.1667  6 Ta 2.70
12 Ru 0.6667 0.3333 0.8333  6 Ta 2.70